Compound: Sr2Ca6AgIr
Source: the Alexandria database
Functional: PBE
Structure: relaxed

POSCAR file:
```
Sr2Ca6AgIr
1.0
-7.774 -1.994 1.731
2.602 -4.873 6.074
-2.903 1.021 7.612
Sr Ca Ir Ag
2 6 1 1
Direct
0.250 0.750 0.500
0.750 0.250 0.500
0.261 0.261 0.000
0.739 0.739 0.000
0.739 0.739 0.522
0.739 0.261 0.000
0.261 0.739 0.000
0.261 0.261 0.478
0.500 0.500 0.000
0.000 0.000 0.000
```

Calculated values
Density of states at the Fermi level, states/eV per atom: 0.81
Volume, Å³ per atom: 39.14
Energy of formation, eV per atom: -0.167